Record 1
The following is a meta-GGA SCAN calculation of a crystal of ZnSi2 relaxed with PBEsol, from the Alexandria database.

As for the raw formation energy: 0.4914 eV/atom. The calculation puts the total energy at -10.69 eV per atom.

The space group is Fmmm (No. 69) and the conventional cell measures 2.546, 4.694 and 14.550 Å, with angles of 90.00, 90.00 and 90.00 degrees. The inequivalent atoms are Zn at (0.000, 0.000, 0.000) and Si at (0.000, 0.000, 0.332).


Record 2
The following is a meta-GGA SCAN calculation of a crystal of Zn2Si relaxed with PBEsol, from the Alexandria database.

As for the raw formation energy: 0.3314 eV/atom. The calculation puts the total energy at -12.02 eV per atom.

The space group is Imma (No. 74) and the conventional cell measures 2.544, 3.573 and 20.981 Å, with angles of 90.00, 90.00 and 90.00 degrees. The inequivalent atoms are Zn at (0.000, 0.250, 0.047), Zn at (0.000, 0.250, 0.197) and Si at (0.000, 0.250, 0.624).


Record 3
The following is a meta-GGA SCAN calculation of a crystal of ZrZn2Si relaxed with PBEsol, from the Alexandria database.

As for the raw formation energy: -0.2206 eV/atom. The calculation puts the total energy at -17.16 eV per atom.

The space group is Imm2 (No. 44) and the conventional cell measures 3.794, 3.872 and 8.760 Å, with angles of 90.00, 90.00 and 90.00 degrees. The inequivalent atoms are Zr at (0.000, 0.000, 0.000), Zn at (0.000, 0.000, 0.443), Zn at (0.000, 0.500, 0.242) and Si at (0.000, 0.500, 0.740).


Record 4
The following is a meta-GGA SCAN calculation of a crystal of ZrZn2Si relaxed with PBEsol, from the Alexandria database.

As for the raw formation energy: 0.1415 eV/atom. The calculation puts the total energy at -16.79 eV per atom.

The space group is R-3m (No. 166, hexagonal axes) and the conventional cell measures 2.9251, 2.9251 and 26.7743 Å, with angles of 90.00, 90.00 and 120.00 degrees. The inequivalent atoms are Zr at (0.0000, 0.0000, 0.0000), Zn at (0.0000, 0.0000, 0.2432) and Si at (0.0000, 0.0000, 0.5000).


Record 5
The following is a meta-GGA SCAN calculation of a crystal of ZrZn2Si relaxed with PBEsol, from the Alexandria database.

As for the raw formation energy: -0.2481 eV/atom. The calculation puts the total energy at -17.18 eV per atom.

The space group is Pmm2 (No. 25) and the conventional cell measures 2.967, 4.127 and 5.300 Å, with angles of 90.00, 90.00 and 90.00 degrees. The inequivalent atoms are Zr at (0.000, 0.000, 0.000), Zn at (0.500, 0.000, 0.495), Zn at (0.500, 0.500, 0.737) and Si at (0.500, 0.500, 0.221).


Record 6
The following is a meta-GGA SCAN calculation of a crystal of ZrZn2Si relaxed with PBEsol, from the Alexandria database.

As for the raw formation energy: -0.2306 eV/atom. The calculation puts the total energy at -17.17 eV per atom.

The space group is Pmmm (No. 47) and the conventional cell measures 2.919, 4.393 and 5.011 Å, with angles of 90.00, 90.00 and 90.00 degrees. The inequivalent atoms are Zr at (0.000, 0.000, 0.000), Zn at (0.500, 0.500, 0.246) and Si at (0.500, 0.000, 0.500).


- Which of these has the highest raw formation energy?
  ZnSi2


- The lowest raw formation energy belongs to which entry?
  number 5